# HgMoPt2 | Alexandria via LeMat-Bulk | PBE | relaxed
# - excess energy over the best structure of this formula in the dataset (meV/atom) = 308
# - energy of formation (meV per atom) = 119
# - M_tot (μB/cell) = 0.65
# - N(E_F) (states/eV/f.u.) = 4.18
# - space-group type = No. 65
# - calculated volume (Å³/atom) = 16.76
data_HgMoPt2
_chemical_formula_sum 'Hg1 Mo1 Pt2'
_symmetry_space_group_name_H-M 'P 1'
_symmetry_Int_Tables_number 1
_symmetry_space_group_name_Hall 'P 1'
_cell_length_a 4.988
_cell_length_b 4.988
_cell_length_c 2.843
_cell_angle_alpha 89.98
_cell_angle_beta 89.98
_cell_angle_gamma 108.63
loop_
_atom_site_label
_atom_site_type_symbol
_atom_site_fract_x
_atom_site_fract_y
_atom_site_fract_z
Mo1 Mo 0.000 0.500 0.500
Pt1 Pt 0.000 0.000 0.000
Pt2 Pt 0.500 0.500 0.000
Hg1 Hg 0.500 0.000 0.500